Entry 1:
Below is a relaxed La2ScTi2 crystal, with properties calculated at the PBE level.

```
La2ScTi2
1.0
8.814 0.000 0.000
0.000 8.814 0.000
0.000 0.000 3.361
Sc Ti La
2 4 4
Direct
0.000 0.000 0.000
0.500 0.500 0.000
0.387 0.887 0.000
0.887 0.613 0.000
0.613 0.113 0.000
0.113 0.387 0.000
0.185 0.685 0.500
0.685 0.815 0.500
0.815 0.315 0.500
0.315 0.185 0.500
```

Values from the calculation:
Crystal system: tetragonal
DFT formation energy in eV/atom: 0.348

=====

Entry 2:
Below is a relaxed PmTiIr2 crystal, with properties calculated at the PBE level.

```
PmTiIr2
1.0
-0.497 -1.129 -2.858
3.050 0.169 -0.597
0.889 -6.919 2.579
Ir Ti Pm
2 1 1
Direct
0.000 0.000 0.798
0.000 0.000 0.202
0.500 0.500 0.000
0.500 0.500 0.500
```

Values from the calculation:
Crystal system: tetragonal
DFT formation energy in eV/atom: -0.697

=====

Entry 3:
Below is a relaxed BaSrEuTl crystal, with properties calculated at the PBE level.

```
BaSrEuTl
1.0
-3.205 4.583 -2.575
0.012 0.708 -6.116
-5.077 -1.243 -3.253
Eu Sr Tl Ba
1 1 1 1
Direct
0.250 0.250 0.250
0.000 0.000 0.000
0.500 0.500 0.500
0.750 0.750 0.750
```

Values from the calculation:
Crystal system: cubic
DFT formation energy in eV/atom: -0.091

=====

Entry 4:
Below is a relaxed MgBe2Al crystal, with properties calculated at the PBE level.

```
MgBe2Al
1.0
-7.327 2.877 2.832
-8.221 0.608 1.427
-7.299 0.352 4.074
Be Mg Al
2 1 1
Direct
0.004 0.004 0.004
0.496 0.496 0.496
0.250 0.250 0.250
0.750 0.750 0.750
```

Values from the calculation:
Crystal system: trigonal
DFT formation energy in eV/atom: 0.414
Relative energy among the computed polymorphs in eV/atom: 0.366

=====

Entry 5:
Below is a relaxed PrCrAs2 crystal, with properties calculated at the PBE level.

```
PrCrAs2
1.0
-3.042 -0.111 -2.656
0.724 -0.939 -3.862
-1.663 -6.242 -0.907
Pr Cr As
1 1 2
Direct
0.500 0.500 0.500
0.000 0.000 0.000
0.269 0.269 0.194
0.731 0.731 0.806
```

Values from the calculation:
Crystal system: trigonal
DFT formation energy in eV/atom: -0.751

=====

Entry 6:
Below is a relaxed SrTl2Br crystal, with properties calculated at the PBE level.

```
SrTl2Br
1.0
-5.061 5.270 -0.932
-5.088 4.426 2.962
3.012 3.771 0.838
Sr Tl Br
1 2 1
Direct
0.250 0.250 0.250
0.975 0.975 0.014
0.525 0.525 0.486
0.750 0.750 0.750
```

Values from the calculation:
Formation energy from raw total energies in eV/atom: -0.676
Crystal system: monoclinic
Relative energy among the computed polymorphs in eV/atom: 0.047

=====

Entry 7:
Below is a relaxed Cd2Cu2Pd7 crystal, with properties calculated at the PBE level.

```
Cd2Cu2Pd7
1.0
-3.950 1.605 4.261
-0.319 -5.306 1.704
5.033 0.737 3.234
Cd Cu Pd
2 2 7
Direct
0.820 0.500 0.820
0.180 0.500 0.180
0.725 0.000 0.275
0.275 0.000 0.725
0.000 0.255 0.500
0.500 0.745 0.000
0.000 0.745 0.500
0.500 0.255 0.000
0.000 0.000 0.000
0.500 0.739 0.500
0.500 0.261 0.500
```

Values from the calculation:
Crystal system: orthorhombic
DFT formation energy in eV/atom: 0.195

=====

Entry 8:
Below is a relaxed SrPtBr4 crystal, with properties calculated at the PBE level.

```
SrPtBr4
1.0
1.967 -2.263 5.478
1.344 3.900 4.688
-3.724 0.265 5.006
Sr Pt Br
1 1 4
Direct
0.000 0.000 0.000
0.750 0.750 0.750
0.872 0.376 0.376
0.376 0.376 0.872
0.376 0.872 0.376
0.376 0.376 0.376
```

Values from the calculation:
Formation energy from raw total energies in eV/atom: 0.181
Crystal system: cubic
Relative energy among the computed polymorphs in eV/atom: 1.306

=====

Entry 9:
Below is a relaxed PuCu2Pd4 crystal, with properties calculated at the PBE level.

```
PuCu2Pd4
1.0
4.595 0.015 2.476
2.142 4.694 1.556
0.098 -0.316 5.379
Pd Cu Pu
4 2 1
Direct
0.703 0.593 0.001
0.297 0.407 0.999
0.703 0.001 0.593
0.297 0.999 0.407
0.751 0.500 0.500
0.249 0.500 0.500
0.000 0.000 0.000
```

Values from the calculation:
Crystal system: monoclinic
DFT formation energy in eV/atom: -0.291

=====

Entry 10:
Below is a relaxed La2Pu2Sb2H crystal, with properties calculated at the PBE level.

```
La2Pu2Sb2H
1.0
4.612 0.000 0.000
0.000 4.612 0.000
-2.306 -2.306 8.731
La Pu Sb H
2 2 2 1
Direct
0.174 0.174 0.347
0.826 0.826 0.653
0.000 0.500 0.000
0.500 0.000 0.000
0.364 0.364 0.729
0.636 0.636 0.271
0.000 0.000 0.000
```

Values from the calculation:
Crystal system: tetragonal
Energy in eV/atom: -7.932

=====

Entry 11:
Below is a relaxed Ho2BeAl crystal, with properties calculated at the PBE level.

```
Ho2BeAl
1.0
-4.110 1.964 -1.954
-2.831 -2.699 -3.044
-4.454 -1.573 1.502
Be Ho Al
1 2 1
Direct
0.500 0.500 0.500
0.250 0.250 0.250
0.750 0.750 0.750
0.000 0.000 0.000
```

Values from the calculation:
Crystal system: cubic
DFT formation energy in eV/atom: -0.136
Relative energy among the computed polymorphs in eV/atom: 0.033

=====

Entry 12:
Below is a relaxed Nb2TlH crystal, with properties calculated at the PBE level.

```
Nb2TlH
1.0
-1.677 -2.758 0.759
1.450 -2.964 -0.324
2.187 -1.506 6.602
H Tl Nb
1 1 2
Direct
0.000 0.000 0.000
0.500 0.500 0.500
0.286 0.286 0.141
0.714 0.714 0.859
```

Values from the calculation:
Crystal system: trigonal
Relative energy among the computed polymorphs in eV/atom: 0.000